<A>
GeTeP2Cl | PBE-GGA | relaxed

```
GeTeP2Cl
1.0
4.884 0.000 0.000
0.000 4.884 0.000
0.000 0.000 4.641
Ge P Te Cl
1 2 1 1
Direct
0.000 0.000 0.000
0.000 0.500 0.000
0.500 0.000 0.000
0.500 0.500 0.500
0.000 0.000 0.500
```

Calculated values
Mass density   4.46 g/cm³
Total moment   0.00 μB per cell
Crystal system   tetragonal


<B>
GeTeP2Cl | PBE-GGA | relaxed

```
GeTeP2Cl
1.0
5.109 0.000 0.000
0.000 5.109 0.000
0.000 0.000 5.119
P Te Ge Cl
2 1 1 1
Direct
0.000 0.500 0.000
0.500 0.000 0.000
0.000 0.000 0.000
0.500 0.500 0.500
0.000 0.000 0.500
```

Calculated values
Mass density   3.70 g/cm³
Total moment   0.00 μB per cell
Crystal system   tetragonal


<A> is favored, and the nearest alternative lies 389 meV/atom above it.


<A>
TlGePCl2 | PBE-GGA | relaxed

```
TlGePCl2
1.0
-2.377 -1.613 4.388
-3.869 -2.083 -2.862
2.670 -4.616 -0.250
Cl Ge P Tl
2 1 1 1
Direct
0.000 0.500 0.000
0.500 0.000 0.000
0.500 0.500 0.500
0.000 0.000 0.500
0.000 0.000 0.000
```

Calculated values
Mass density   4.29 g/cm³
Total moment   0.33 μB per cell
Crystal system   tetragonal


<B>
TlGePCl2 | PBE-GGA | relaxed

```
TlGePCl2
1.0
-2.504 -3.331 3.188
4.211 -3.129 0.038
1.721 2.363 3.821
Ge P Cl Tl
1 1 2 1
Direct
0.000 0.000 0.000
0.000 0.000 0.500
0.000 0.500 0.000
0.500 0.000 0.000
0.500 0.500 0.500
```

Calculated values
Mass density   4.75 g/cm³
Total moment   0.98 μB per cell
Crystal system   tetragonal


<B> is favored, and the nearest alternative lies 614 meV/atom above it.


<A>
VGeP2Cl | PBE-GGA | relaxed

```
VGeP2Cl
1.0
4.612 0.000 0.000
0.000 4.612 0.000
0.000 0.000 4.672
Cl P V Ge
1 2 1 1
Direct
0.000 0.000 0.500
0.000 0.500 0.000
0.500 0.000 0.000
0.000 0.000 0.000
0.500 0.500 0.500
```

Calculated values
Mass density   3.69 g/cm³
Total moment   0.00 μB per cell
Crystal system   tetragonal


<B>
VGeP2Cl | PBE-GGA | relaxed

```
VGeP2Cl
1.0
4.699 0.000 0.000
0.000 4.699 0.000
0.000 0.000 4.718
P Ge V Cl
2 1 1 1
Direct
0.500 0.000 0.000
0.000 0.500 0.000
0.000 0.000 0.000
0.500 0.500 0.500
0.000 0.000 0.500
```

Calculated values
Mass density   3.52 g/cm³
Total moment   0.15 μB per cell
Crystal system   tetragonal


<A> is favored, and the nearest alternative lies 761 meV/atom above it.


<A>
YGePCl2 | PBE-GGA | relaxed

```
YGePCl2
1.0
4.829 0.000 0.000
0.000 4.829 0.000
0.000 0.000 5.106
Cl P Ge Y
2 1 1 1
Direct
0.500 0.000 0.000
0.000 0.500 0.000
0.000 0.000 0.500
0.000 0.000 0.000
0.500 0.500 0.500
```

Calculated values
Mass density   3.67 g/cm³
Total moment   0.00 μB per cell
Crystal system   tetragonal


<B>
YGePCl2 | PBE-GGA | relaxed

```
YGePCl2
1.0
-1.318 4.357 -2.282
-4.168 -2.244 -1.877
-2.907 1.538 4.616
Y P Cl Ge
1 1 2 1
Direct
0.000 0.000 0.000
0.000 0.000 0.500
0.000 0.500 0.000
0.500 0.000 0.000
0.500 0.500 0.500
```

Calculated values
Mass density   2.98 g/cm³
Total moment   0.06 μB per cell
Crystal system   tetragonal


<B> is favored, and the nearest alternative lies 161 meV/atom above it.